[1]
Computed, not measured: a geometry-optimized Y2PaSiO8 structure at the GGA-PBE level of DFT.

Computed properties:
The value obtained for the electronic total energy is -8.64 eV/atom. The calculation puts the formation energy from raw total energies at -69.4 kcal/mol of atoms.

Cell lengths 4.939, 6.607, 4.940 Å; angles 90.00, 91.16, 90.00 degrees
Space group P2/m (No. 10)
Symmetry-distinct sites (fractional):
Y 0.000 0.233 0.000 [2 per cell]
Pa 0.500 0.500 0.500 [1 per cell]
Si 0.500 0.000 0.500 [1 per cell]
O 0.197 0.500 0.198 [2 per cell]
O 0.243 0.000 0.244 [2 per cell]
O 0.325 0.211 0.676 [4 per cell]

[2]
Computed, not measured: a geometry-optimized PaZnSiO6 structure at the GGA-PBE level of DFT.

Computed properties:
The value obtained for the electronic total energy is -7.41 eV/atom. The calculation puts the formation energy from raw total energies at -53.2 kcal/mol of atoms.

Cell lengths 5.2984, 5.2984, 8.5146 Å; angles 90.00, 90.00, 120.00 degrees
Space group P-31c (No. 163)
Symmetry-distinct sites (fractional):
Pa 0.3333 0.6667 0.2500 [2 per cell]
Zn 0.0000 0.0000 0.0000 [2 per cell]
Si 0.3333 0.6667 0.7500 [2 per cell]
O 0.0544 0.3771 0.6330 [12 per cell]

[3]
Computed, not measured: a geometry-optimized PaZnSi2O8 structure at the GGA-PBE level of DFT.

Computed properties:
The value obtained for the electronic total energy is -7.59 eV/atom. The calculation puts the formation energy from raw total energies at -57.4 kcal/mol of atoms.

Cell lengths 6.776, 6.776, 6.281 Å; angles 90.00, 90.00, 90.00 degrees
Space group I-4m2 (No. 119)
Symmetry-distinct sites (fractional):
Pa 0.000 0.000 0.000 [2 per cell]
Zn 0.000 0.500 0.250 [2 per cell]
Si 0.000 0.000 0.500 [2 per cell]
Si 0.000 0.500 0.750 [2 per cell]
O 0.000 0.186 0.330 [8 per cell]
O 0.000 0.312 0.913 [8 per cell]

[4]
Computed, not measured: a geometry-optimized SmPaO4 structure at the GGA-PBE level of DFT.

Computed properties:
The value obtained for the electronic total energy is -9.36 eV/atom. The calculation puts the formation energy from raw total energies at -84.9 kcal/mol of atoms.

Cell lengths 5.473, 5.473, 10.846 Å; angles 90.00, 90.00, 90.00 degrees
Space group I4_1/amd (No. 141, origin choice 2)
Symmetry-distinct sites (fractional):
Sm 0.000 0.250 0.375 [4 per cell]
Pa 0.000 0.250 0.875 [4 per cell]
O 0.234 0.000 0.000 [16 per cell]

[5]
Computed, not measured: a geometry-optimized Sm5Pa2O12 structure at the GGA-PBE level of DFT.

Computed properties:
The value obtained for the electronic total energy is -8.76 eV/atom. The calculation puts the formation energy from raw total energies at -78.0 kcal/mol of atoms.

Cell lengths 12.887, 6.346, 7.845 Å; angles 90.00, 107.71, 90.00 degrees
Space group C2/m (No. 12)
Symmetry-distinct sites (fractional):
Sm 0.000 0.000 0.000 [2 per cell]
Sm 0.193 0.500 0.316 [4 per cell]
Sm 0.205 0.500 0.866 [4 per cell]
Pa 0.000 0.234 0.500 [4 per cell]
O 0.004 0.500 0.315 [4 per cell]
O 0.006 0.000 0.291 [4 per cell]
O 0.155 0.254 0.070 [8 per cell]
O 0.173 0.269 0.596 [8 per cell]

[6]
Computed, not measured: a geometry-optimized SmPa2O6 structure at the GGA-PBE level of DFT.

Computed properties:
The value obtained for the electronic total energy is -9.59 eV/atom. The calculation puts the formation energy from raw total energies at -84.2 kcal/mol of atoms.

Cell lengths 3.8928, 3.8928, 9.3997 Å; angles 90.00, 90.00, 120.00 degrees
Space group P-3m1 (No. 164)
Symmetry-distinct sites (fractional):
Sm 0.0000 0.0000 0.0000 [1 per cell]
Pa 0.3333 0.6667 0.6692 [2 per cell]
O 0.0000 0.0000 0.2640 [2 per cell]
O 0.3333 0.6667 0.4178 [2 per cell]
O 0.3333 0.6667 0.9018 [2 per cell]